Compound: KCr3W
Source: Alexandria
Functional: PBEsol
Structure: optimized geometry Values from VASP.

Values from the calculation:
crystal system: cubic
spin magnetization: 8.915 μB per formula unit
final energy: -7.500 eV/atom

Quantum ESPRESSO input file:
```
&SYSTEM
  ibrav = 0, nat = 5, ntyp = 3
/
ATOMIC_SPECIES
K 39.10 K.upf
W 183.84 W.upf
Cr 52.00 Cr.upf
CELL_PARAMETERS angstrom
-1.733 -2.324 -3.853
4.298 -2.077 -0.680
-1.332 -3.678 2.818
ATOMIC_POSITIONS angstrom
K 0.616 -4.040 -0.857
W 0.000 0.000 0.000
Cr 2.149 -1.039 -0.340
Cr -0.666 -1.839 1.409
Cr -0.867 -1.162 -1.926
```